# 1
# Ca2YTh (PBE-GGA, optimized geometry)
# **Symmetry**: No. 166
# **Magnetization**: 0.5 Bohr magnetons per cell
# **ΔE_f**: 0.28 eV per atom
# **E_tot**: -4.1919 eV per atom
# **D(E_F)**: 6.2 states/eV per cell
data_Ca2YTh
_space_group_name_H-M_alt 'P 1'
_space_group_IT_number 1
_space_group_name_Hall 'P 1'
_cell_length_a 3.534
_cell_length_b 3.534
_cell_length_c 13.415
_cell_angle_alpha 82.43
_cell_angle_beta 82.43
_cell_angle_gamma 60.00
loop_
_atom_site_label
_atom_site_type_symbol
_atom_site_fract_x
_atom_site_fract_y
_atom_site_fract_z
_atom_site_occupancy
Ca1 Ca 0.089 0.089 0.734 1
Ca2 Ca 0.911 0.911 0.266 1
Th1 Th 0.000 0.000 0.000 1
Y1 Y 0.500 0.500 0.500 1



# 2
# CaY6Th (PBE-GGA, optimized geometry)
# **Symmetry**: No. 2
# **Magnetization**: 0.0 Bohr magnetons per cell
# **ΔE_f**: 0.26 eV per atom
# **E_tot**: -5.7646 eV per atom
# **D(E_F)**: 15.6 states/eV per cell
data_CaY6Th
_space_group_name_H-M_alt 'P 1'
_space_group_IT_number 1
_space_group_name_Hall 'P 1'
_cell_length_a 6.822
_cell_length_b 6.746
_cell_length_c 6.812
_cell_angle_alpha 100.77
_cell_angle_beta 62.59
_cell_angle_gamma 88.35
loop_
_atom_site_label
_atom_site_type_symbol
_atom_site_fract_x
_atom_site_fract_y
_atom_site_fract_z
_atom_site_occupancy
Y1 Y 0.575 0.755 0.514 1
Y2 Y 0.093 0.720 0.476 1
Y3 Y 0.454 0.255 0.994 1
Y4 Y 0.425 0.245 0.486 1
Y5 Y 0.907 0.280 0.524 1
Y6 Y 0.546 0.745 0.006 1
Th1 Th 0.000 0.500 0.000 1
Ca1 Ca 0.000 0.000 0.000 1